The following is a DFT calculation (SCAN) of a PBEsol-optimized structure of Ba2SiAs.

Cell: 3.6450 5.5691 6.6344 Å, 90.00 90.00 90.00°
Space group Pmmm (No. 47)
Unique sites:
Ba  0.0000  0.0000  0.0000 (multiplicity 1)
Ba  0.5000  0.5000  0.5000 (multiplicity 1)
Si  0.0000  0.0000  0.5000 (multiplicity 1)
As  0.5000  0.5000  0.0000 (multiplicity 1)

Properties
Energy above the lowest structure with this stoichiometry   0.000 eV per atom
Crystal system   orthorhombic
DOS at the Fermi energy   3.0 states/eV/cell
Energy relative to the elements, uncorrected   -322 meV per atom
Total DFT energy (no corrections)   -27.65 eV/atom

The following is a DFT calculation (SCAN) of a PBEsol-optimized structure of BaSiAs2.

Cell: 3.9437 3.9437 21.7352 Å, 90.00 90.00 120.00°
Space group R-3m (No. 166, hexagonal axes)
Unique sites:
Ba  0.0000  0.0000  0.0000 (multiplicity 3)
Si  0.0000  0.0000  0.5000 (multiplicity 3)
As  0.0000  0.0000  0.2254 (multiplicity 6)

Properties
Crystal system   trigonal
DOS at the Fermi energy   5.3 states/eV/cell
Energy relative to the elements, uncorrected   -250 meV per atom
Total DFT energy (no corrections)   -22.74 eV/atom

The following is a DFT calculation (SCAN) of a PBEsol-optimized structure of BaSiAs2.

Cell: 4.6631 4.6631 8.6547 Å, 90.00 90.00 90.00°
Space group I4/mmm (No. 139)
Unique sites:
Ba  0.0000  0.0000  0.0000 (multiplicity 2)
Si  0.0000  0.0000  0.5000 (multiplicity 2)
As  0.0000  0.5000  0.2500 (multiplicity 4)

Properties
Crystal system   tetragonal
DOS at the Fermi energy   3.5 states/eV/cell
Energy relative to the elements, uncorrected   80 meV per atom
Total DFT energy (no corrections)   -22.41 eV/atom

The following is a DFT calculation (SCAN) of a PBEsol-optimized structure of Ba4SiAs4.

Cell: 13.2812 13.2812 13.2812 Å, 90.00 90.00 90.00°
Space group P-43n (No. 218)
Unique sites:
Ba  0.0954  0.1323  0.6447 (multiplicity 24)
Ba  0.1446  0.1446  0.1446 (multiplicity 8)
Si  0.0000  0.0000  0.0000 (multiplicity 2)
Si  0.0000  0.5000  0.2500 (multiplicity 6)
As  0.1045  0.1045  0.8955 (multiplicity 8)
As  0.1037  0.3881  0.6513 (multiplicity 24)

Properties
Crystal system   cubic
Energy relative to the elements, uncorrected   -1150 meV per atom
Total DFT energy (no corrections)   -28.81 eV/atom